(1)
Below is crystalline Sr2CaZr at its relaxed geometry, with properties calculated at the PBE level.

Cell: 7.2858 7.2858 7.2858 Å, 148.55 128.89 61.25°
Each line ends with the local moment (μB).
Positions (direct):
Sr 0.9820 0.9820 0.0000  0.01
Sr 0.5180 0.5180 0.0000  0.01
Ca 0.2500 0.7500 0.5000  0.02
Zr 0.7500 0.2500 0.5000  0.75

Summary:
Its crystal system is orthorhombic. Its space group is No. 71. The total energy is -3.013 eV/atom. The energy of formation from the pure elements is 0.47 eV per atom. Its total magnetization is 1.4 μB/cell.

=====

(2)
Below is crystalline SrCa2Zr at its relaxed geometry, with properties calculated at the PBE level.

Cell: 3.9202 6.0766 6.1131 Å, 90.00 90.00 90.00°
Each line ends with the local moment (μB).
Positions (direct):
Sr 0.5000 0.0000 0.5000  0.04
Ca 0.0000 0.0000 0.0000  -0.02
Ca 0.5000 0.5000 0.0000  0.03
Zr 0.0000 0.5000 0.5000  0.84

Summary:
Its crystal system is orthorhombic. Its space group is No. 47. The total energy is -3.105 eV/atom. The energy of formation from the pure elements is 0.45 eV per atom. Its total magnetization is 1.6 μB/cell.

=====

(3)
Below is crystalline SrCaZr2 at its relaxed geometry, with properties calculated at the PBE level.

Cell: 8.9472 8.9472 7.0549 Å, 50.65 50.65 90.00°
Each line ends with the local moment (μB).
Positions (direct):
Sr 0.0000 0.0000 0.0000  0.09
Sr 0.7500 0.2500 0.5000  0.09
Ca 0.5000 0.5000 0.0000  0.08
Ca 0.2500 0.7500 0.5000  0.08
Zr 0.6184 0.1250 0.2500  0.43
Zr 0.1316 0.6250 0.2500  0.45
Zr 0.3750 0.3816 0.7500  0.44
Zr 0.8750 0.8684 0.7500  0.45

Summary:
Its crystal system is tetragonal. Its space group is No. 122. The total energy is -4.250 eV/atom. The energy of formation from the pure elements is 0.95 eV per atom. Its total magnetization is 3.6 μB/cell.

=====

(4)
Below is crystalline SrCa3Zr at its relaxed geometry, with properties calculated at the PBE level.

Cell: 5.9001 5.9001 5.9001 Å, 90.00 90.00 90.00°
Positions (direct):
Sr 0.5000 0.5000 0.5000
Ca 0.0000 0.5000 0.0000
Ca 0.0000 0.0000 0.5000
Ca 0.5000 0.0000 0.0000
Zr 0.0000 0.0000 0.0000

Summary:
Its crystal system is cubic. Its space group is No. 221. The total energy is -2.658 eV/atom. The energy of formation from the pure elements is 0.59 eV per atom. Its total magnetization is 0.0 μB/cell.